VASP calculation (GGA+U) on an optimized crystal structure of RbMnAg2F6.

Results
The uncorrected energy comes out at -4.496 eV/atom. As for the magnetic moment: 3.9 μB per formula unit.

a b c (Å): 6.0518 6.4909 8.5331
angles (deg): 90.00 87.53 90.00
Last column: nearest neighbours and their distance in Å.
Element x y z (fractional)
F: 0.8868 0.3486 0.1800  1 Mn 1.92
F: 0.6503 0.7778 0.6486  1 Mn 2.15, 1 Ag 2.30
F: 0.1132 0.6514 0.8200  1 Mn 1.92
F: 0.1503 0.7222 0.1486  1 Mn 2.15, 1 Ag 2.30
F: 0.2709 0.3558 0.9982  1 Mn 1.89
F: 0.7291 0.6442 0.0018  1 Mn 1.89
F: 0.8497 0.2778 0.8514  1 Mn 2.15, 1 Ag 2.30
F: 0.3868 0.1514 0.6800  1 Mn 1.92
F: 0.2291 0.8558 0.5018  1 Mn 1.89
F: 0.6132 0.8486 0.3200  1 Mn 1.92
F: 0.7709 0.1442 0.4982  1 Mn 1.89
F: 0.3497 0.2222 0.3514  1 Mn 2.15, 1 Ag 2.30
Ag: 0.5156 0.4827 0.7678  4 F 2.30-2.55
Ag: 0.0156 0.0173 0.2678  4 F 2.30-2.55
Ag: 0.4844 0.5173 0.2322  4 F 2.30-2.55
Ag: 0.9844 0.9827 0.7322  4 F 2.30-2.55
Mn: 0.5000 0.0000 0.5000  4 F 1.89-1.92
Mn: 0.0000 0.5000 0.0000  4 F 1.89-1.92
Rb: 0.0000 0.5000 0.5000  4 F 2.69-3.01
Rb: 0.5000 0.0000 0.0000  4 F 2.69-3.01